{"formula": "SrLaMg2", "functional": "meta-GGA SCAN", "state": "PBEsol geometry", "lattice": [[-1.593, -3.089, -1.063], [-0.672, -0.847, 3.470], [-8.592, 4.617, -0.538]], "species": ["Sr", "Mg", "Mg", "La"], "frac_coords": [[0.000, 0.000, 0.471], [0.000, 0.000, 0.027], [0.500, 0.500, 0.207], [0.500, 0.500, 0.795]], "formation_energy_ev_per_atom": 0.030}

---

{"formula": "CaMoPb", "functional": "meta-GGA SCAN", "state": "PBEsol geometry", "lattice": [[-0.197, 4.841, -0.375], [-3.616, 2.100, -2.476], [-3.444, 2.482, 2.365]], "species": ["Mo", "Pb", "Ca"], "frac_coords": [[0.250, 0.250, 0.250], [0.000, 0.000, 0.000], [0.500, 0.500, 0.500]], "e_above_lowest_polymorph_ev_per_fu": 0.23, "formation_energy_ev_per_atom": 0.587}

---

{"formula": "MnTcAs2", "functional": "meta-GGA SCAN", "state": "PBEsol geometry", "lattice": [[-1.546, -0.315, -3.900], [2.612, -0.121, -3.295], [0.483, -3.570, -2.172]], "species": ["Tc", "Mn", "As", "As"], "frac_coords": [[0.500, 0.500, 0.500], [0.000, 0.000, 0.000], [0.250, 0.250, 0.250], [0.750, 0.750, 0.750]], "formation_energy_ev_per_atom": 0.003}